[1]
VASP calculation (PBE) on RbLiMg after structural relaxation.

Cell and atoms, written as extended XYZ:
```
6
Lattice="5.479 0.000 0.000 -2.740 2.759 0.000 0.000 0.000 15.172" Properties=species:S:1:pos:R:3 pbc="T T T"
Li 2.740 1.087 0.000
Li 0.000 1.067 7.586
Mg 2.740 1.062 6.068
Mg 2.740 1.062 9.104
Rb 0.000 1.079 12.054
Rb 0.000 1.079 3.118
```

Summary:
Final energy ... -1.292 eV/atom
DOS(E_F) ... 3.5 states/eV/cell
Energy relative to the elements ... 0.200 eV per atom
Space group ... No. 38



[2]
VASP calculation (PBE) on La2Sm3Y5 after structural relaxation.

Cell and atoms, written as extended XYZ:
```
20
Lattice="8.010 0.000 0.000 4.005 10.014 1.495 4.005 4.098 9.258" Properties=species:S:1:pos:R:3 pbc="T T T"
La 8.010 11.798 10.369
La 8.010 2.314 0.384
La 12.014 13.128 8.624
La 4.005 0.985 2.129
Sm 2.002 0.000 0.000
Sm 6.007 0.000 0.000
Sm 8.010 7.418 8.642
Sm 8.010 6.694 2.110
Sm 12.014 10.301 4.859
Sm 4.005 3.811 5.894
Y 6.007 7.056 5.376
Y 10.012 7.056 5.376
Y 10.012 10.769 8.206
Y 2.002 3.343 2.547
Y 6.007 3.343 2.547
Y 14.017 10.769 8.206
Y 4.005 5.741 3.160
Y 12.014 8.372 7.593
Y 8.010 4.570 4.696
Y 8.010 9.542 6.056
```

Summary:
Final energy ... -5.195 eV/atom
DOS(E_F) ... 28.8 states/eV/cell
Energy relative to the elements ... 0.439 eV per atom
Space group ... No. 72



[3]
VASP calculation (PBE) on InSb6Pd after structural relaxation.

Cell and atoms, written as extended XYZ:
```
16
Lattice="8.072 -0.033 -2.831 -4.010 6.998 -2.852 0.042 0.055 8.659" Properties=species:S:1:pos:R:3 pbc="T T T"
In -2.005 3.499 -1.426
In 4.036 -0.016 -1.415
Sb -1.446 4.498 4.479
Sb 5.551 2.522 -1.502
Sb 4.166 4.601 0.056
Sb -0.061 2.419 2.921
Sb 5.918 0.919 2.829
Sb -1.813 6.101 0.148
Sb 0.708 5.860 1.656
Sb 3.396 1.160 1.321
Sb 2.203 5.554 -2.730
Sb 1.902 1.466 5.707
Sb 3.112 3.540 4.014
Sb 0.993 3.480 -1.037
Pd 0.021 0.028 4.330
Pd 2.052 3.510 1.488
```

Summary:
Final energy ... -4.161 eV/atom
DOS(E_F) ... 4.7 states/eV/cell
Formation energy without anion corrections ... -78 meV/atom
Space group ... No. 12



[4]
VASP calculation (PBE) on Ho3UN4 after structural relaxation.

Cell and atoms, written as extended XYZ:
```
8
Lattice="-1.508 2.868 3.642 -3.533 1.768 -2.856 -0.463 -5.819 1.130" Properties=species:S:1:pos:R:3 pbc="T T T"
U 0.000 0.000 0.000
Ho -2.520 2.318 0.393
Ho -2.245 -0.316 2.582
Ho -3.258 -0.866 -0.667
N -4.111 0.452 1.205
N -1.393 -1.634 0.711
N -0.754 1.434 1.821
N -1.766 0.884 -1.428
```

Summary:
Final energy ... -8.936 eV/atom
DOS(E_F) ... 5.7 states/eV/cell
Formation energy without anion corrections ... -1646 meV/atom
Space group ... No. 139



[5]
VASP calculation (PBE) on CuPPb after structural relaxation.

Cell and atoms, written as extended XYZ:
```
6
Lattice="2.443 -4.232 0.000 2.443 4.232 0.000 0.000 0.000 5.954" Properties=species:S:1:pos:R:3 pbc="T T T"
Cu 0.000 0.000 0.000
Cu 0.000 0.000 2.977
P 2.443 1.411 1.488
P 2.443 -1.411 4.465
Pb 2.443 1.411 4.465
Pb 2.443 -1.411 1.488
```

Summary:
Final energy ... -3.880 eV/atom
DOS(E_F) ... 3.4 states/eV/cell
Energy relative to the elements ... 0.525 eV per atom
Space group ... No. 194



[6]
VASP calculation (PBE) on La3NiSn after structural relaxation.

Cell and atoms, written as extended XYZ:
```
10
Lattice="-4.331 -2.251 -3.166 3.631 1.920 -6.334 1.211 -6.755 3.146" Properties=species:S:1:pos:R:3 pbc="T T T"
La 2.105 -0.232 -5.388
La -1.594 -6.853 -0.965
La 2.650 -3.274 -3.971
La -2.139 -3.811 -2.382
La 0.470 -1.097 -2.536
La 0.041 -5.988 -3.818
Ni 0.000 0.000 0.000
Ni -2.166 -1.125 -1.583
Sn 0.935 -4.425 -0.806
Sn -0.424 -2.660 -5.547
```

Summary:
Final energy ... -5.360 eV/atom
DOS(E_F) ... 13.6 states/eV/cell
Energy relative to the elements ... -0.447 eV per atom
Space group ... No. 194



[7]
VASP calculation (PBE) on CaCe5Sb4 after structural relaxation.

Cell and atoms, written as extended XYZ:
```
10
Lattice="-0.080 4.648 -0.538 -7.249 -0.583 -3.956 1.098 -1.199 9.833" Properties=species:S:1:pos:R:3 pbc="T T T"
Ca -0.040 2.324 -0.269
Ce -3.724 2.465 1.497
Ce -0.601 3.040 6.004
Ce -5.630 -0.174 -0.665
Ce -3.664 2.033 -2.247
Ce -2.506 0.401 3.842
Sb -5.703 0.194 2.530
Sb -3.865 2.915 5.410
Sb -0.528 2.672 2.809
Sb -2.365 -0.049 -0.071
```

Summary:
Final energy ... -5.604 eV/atom
DOS(E_F) ... 28.2 states/eV/cell
Formation energy without anion corrections ... -788 meV/atom
Space group ... No. 12



[8]
VASP calculation (PBE) on FeOsAu2 after structural relaxation.

Cell and atoms, written as extended XYZ:
```
4
Lattice="2.750 0.010 0.000 -1.217 2.466 0.000 0.000 0.000 9.415" Properties=species:S:1:pos:R:3 pbc="T T T"
Au 0.000 0.000 9.347
Au 0.767 1.238 2.537
Fe 0.000 0.000 4.827
Os 0.767 1.238 6.827
```

Summary:
Final energy ... -6.203 eV/atom
DOS(E_F) ... 4.3 states/eV/cell
Energy relative to the elements ... 0.359 eV per atom
Space group ... No. 35



[9]
VASP calculation (PBE) on CoCuW2 after structural relaxation.

Cell and atoms, written as extended XYZ:
```
4
Lattice="-3.160 0.388 2.899 0.801 -0.724 4.168 0.028 3.280 2.788" Properties=species:S:1:pos:R:3 pbc="T T T"
Co -1.165 1.472 4.927
Cu -1.748 2.208 7.391
W 0.000 0.000 0.000
W -0.583 0.736 2.464
```

Summary:
Final energy ... -8.849 eV/atom
DOS(E_F) ... 5.4 states/eV/cell
Energy relative to the elements ... 0.428 eV per atom
Space group ... No. 216



[10]
VASP calculation (PBE) on LaFe2Ge2C after structural relaxation.

Cell and atoms, written as extended XYZ:
```
6
Lattice="-0.842 -0.354 3.911 1.358 -3.779 -0.050 5.099 1.815 1.263" Properties=species:S:1:pos:R:3 pbc="T T T"
La 2.550 0.908 0.631
Fe -0.421 -0.177 1.955
Fe 0.679 -1.890 -0.025
Ge 4.020 -0.728 2.862
Ge 1.595 -1.591 2.262
C 0.000 0.000 0.000
```

Summary:
Final energy ... -6.993 eV/atom
DOS(E_F) ... 3.9 states/eV/cell
Energy relative to the elements ... -0.275 eV per atom
Space group ... No. 123



[11]
VASP calculation (PBE) on TbPd4Au7 after structural relaxation.

Cell and atoms, written as extended XYZ:
```
12
Lattice="-1.987 -3.257 -3.438 -2.622 -6.985 4.296 -6.040 0.594 -0.907" Properties=species:S:1:pos:R:3 pbc="T T T"
Tb 0.000 0.000 0.000
Pd -5.546 -3.061 -1.566
Pd -5.103 -6.587 1.517
Pd -8.578 -6.524 -0.370
Pd -2.071 -3.124 0.321
Au -7.064 -8.591 0.713
Au -3.585 -1.057 -0.762
Au -3.162 -4.617 2.365
Au -7.487 -5.031 -2.414
Au -6.629 -4.598 0.515
Au -0.994 -1.628 -1.719
Au -4.020 -5.051 -0.564
```

Summary:
Final energy ... -4.102 eV/atom
DOS(E_F) ... 4.7 states/eV/cell
Energy relative to the elements ... -0.073 eV per atom
Space group ... No. 12



[12]
VASP calculation (PBE) on Cs3CoS after structural relaxation.

Cell and atoms, written as extended XYZ:
```
5
Lattice="6.735 0.000 0.000 0.000 6.735 0.000 0.000 0.000 6.735" Properties=species:S:1:pos:R:3 pbc="T T T"
Cs 0.000 3.368 0.000
Cs 0.000 0.000 3.368
Cs 3.368 0.000 0.000
S 0.000 0.000 0.000
Co 3.368 3.368 3.368
```

Summary:
Final energy ... -2.685 eV/atom
DOS(E_F) ... 0.0 states/eV/cell
Formation energy without anion corrections ... 73 meV/atom
Space group ... No. 221



[13]
VASP calculation (PBE) on Pm4GaTe5 after structural relaxation.

Cell and atoms, written as extended XYZ:
```
10
Lattice="4.448 0.000 0.000 2.224 3.852 0.000 2.224 1.284 18.686" Properties=species:S:1:pos:R:3 pbc="T T T"
Pm 6.671 3.852 5.519
Pm 2.224 1.284 1.862
Pm 6.671 3.852 16.824
Pm 2.224 1.284 13.167
Ga 4.448 2.568 9.343
Te 4.448 2.568 15.002
Te 0.000 0.000 0.000
Te 4.448 2.568 3.684
Te 6.671 3.852 11.309
Te 2.224 1.284 7.376
```

Summary:
Final energy ... -5.001 eV/atom
DOS(E_F) ... 5.3 states/eV/cell
Formation energy without anion corrections ... -1227 meV/atom
Space group ... No. 166



[14]
VASP calculation (PBE) on Hf6CO after structural relaxation.

Cell and atoms, written as extended XYZ:
```
16
Lattice="-3.219 4.229 -1.776 -1.711 -5.294 -0.665 -4.714 0.346 9.368" Properties=species:S:1:pos:R:3 pbc="T T T"
Hf -3.374 -0.260 2.736
Hf -6.270 -0.459 4.191
Hf -2.965 -3.425 3.059
Hf -3.312 -3.845 -0.072
Hf -6.679 2.705 3.869
Hf -6.332 3.125 6.999
Hf -5.625 -2.284 1.678
Hf -1.177 -1.668 0.922
Hf -4.018 1.565 5.249
Hf -8.467 0.948 6.005
Hf -3.899 -0.719 -0.483
Hf -5.744 0.000 7.410
C -2.357 0.173 4.684
C 0.000 0.000 0.000
O -3.392 -2.033 1.307
O -6.252 1.314 5.621
```

Summary:
Final energy ... -10.153 eV/atom
DOS(E_F) ... 4.9 states/eV/cell
Formation energy without anion corrections ... -916 meV/atom
Space group ... No. 163



[15]
VASP calculation (PBE) on Ce2ErTi after structural relaxation.

Cell and atoms, written as extended XYZ:
```
4
Lattice="5.330 0.000 0.000 2.665 4.616 0.000 2.665 1.539 4.352" Properties=species:S:1:pos:R:3 pbc="T T T"
Ti 5.330 3.077 2.176
Ce 2.665 1.539 1.088
Ce 7.995 4.616 3.264
Er 0.000 0.000 0.000
```

Summary:
Final energy ... -5.780 eV/atom
DOS(E_F) ... 12.5 states/eV/cell
Energy relative to the elements ... 0.301 eV per atom
Space group ... No. 225



[16]
VASP calculation (PBE) on Tb3Pr6Tm2In after structural relaxation.

Cell and atoms, written as extended XYZ:
```
12
Lattice="6.254 -0.009 0.017 -3.133 5.412 0.017 -1.092 -1.892 11.632" Properties=species:S:1:pos:R:3 pbc="T T T"
Tb -2.101 3.555 5.833
Tb 4.129 -0.044 5.833
Tb 1.014 1.756 5.833
Pr 3.070 1.764 8.802
Pr 2.083 3.606 2.901
Pr -1.042 1.747 2.864
Pr -0.006 3.541 8.802
Pr -0.055 -0.095 8.765
Pr 2.034 -0.029 2.864
Tm -0.001 3.603 0.017
Tm 3.121 1.800 0.017
In 0.000 0.000 0.000
```

Summary:
Final energy ... -4.545 eV/atom
DOS(E_F) ... 14.6 states/eV/cell
Energy relative to the elements ... -0.024 eV per atom
Space group ... No. 12



[17]
VASP calculation (PBE) on Ba6AlHg5 after structural relaxation.

Cell and atoms, written as extended XYZ:
```
12
Lattice="5.689 0.023 -1.661 -1.158 7.412 -3.860 -0.094 0.532 10.270" Properties=species:S:1:pos:R:3 pbc="T T T"
Hg 3.557 1.405 1.632
Hg 1.451 2.838 5.016
Hg -0.579 3.706 -1.930
Hg 2.987 5.129 -0.267
Hg 0.881 6.562 3.118
Ba 4.005 4.715 3.218
Ba 4.587 0.989 5.158
Ba 1.880 6.118 6.537
Ba 2.558 1.849 -1.787
Ba -0.150 6.978 -0.409
Ba 0.433 3.253 1.531
Al 0.000 0.000 0.000
```

Summary:
Final energy ... -1.844 eV/atom
DOS(E_F) ... 8.6 states/eV/cell
Energy relative to the elements ... -0.445 eV per atom
Space group ... No. 71



[18]
VASP calculation (PBE) on Mg6Ag2Sn3 after structural relaxation.

Cell and atoms, written as extended XYZ:
```
11
Lattice="-1.494 -0.148 4.062 -3.002 -2.878 -1.209 11.112 -8.943 1.451" Properties=species:S:1:pos:R:3 pbc="T T T"
Mg -0.246 -2.919 -0.197
Mg 0.508 -1.554 2.438
Mg 6.862 -9.050 4.502
Mg 6.108 -10.414 1.866
Mg 1.792 -6.279 2.738
Mg 4.824 -5.690 1.566
Ag 6.511 -7.681 2.114
Ag 0.105 -4.288 2.190
Sn 0.000 0.000 0.000
Sn 3.690 -8.516 3.354
Sn 2.927 -3.452 0.950
```

Summary:
Final energy ... -2.514 eV/atom
DOS(E_F) ... 6.1 states/eV/cell
Energy relative to the elements ... -0.034 eV per atom
Space group ... No. 139



[19]
VASP calculation (PBE) on PSO after structural relaxation.

Cell and atoms, written as extended XYZ:
```
3
Lattice="-0.105 0.202 2.513 1.975 -2.523 0.286 4.074 5.112 -0.336" Properties=species:S:1:pos:R:3 pbc="T T T"
P 2.859 1.461 1.139
S 1.196 0.165 1.175
O 4.272 0.532 1.274
```

Summary:
Final energy ... -5.226 eV/atom
DOS(E_F) ... 0.8 states/eV/cell
Formation energy without anion corrections ... -395 meV/atom
Space group ... No. 1



[20]
VASP calculation (PBE) on FePtAu after structural relaxation.

Cell and atoms, written as extended XYZ:
```
3
Lattice="4.210 0.000 0.000 2.105 3.646 0.000 2.105 1.215 3.437" Properties=species:S:1:pos:R:3 pbc="T T T"
Au 4.210 2.430 1.719
Fe 6.314 3.646 2.578
Pt 0.000 0.000 0.000
```

Summary:
Final energy ... -5.736 eV/atom
DOS(E_F) ... 2.9 states/eV/cell
Energy relative to the elements ... 0.191 eV per atom
Space group ... No. 216



[21]
VASP calculation (PBE) on PmHoGaPt after structural relaxation.

Cell and atoms, written as extended XYZ:
```
4
Lattice="5.065 0.000 0.000 2.532 4.386 0.000 2.532 1.462 4.135" Properties=species:S:1:pos:R:3 pbc="T T T"
Ga 2.532 1.462 1.034
Ho 0.000 0.000 0.000
Pt 7.597 4.386 3.102
Pm 5.065 2.924 2.068
```

Summary:
Final energy ... -5.413 eV/atom
DOS(E_F) ... 2.9 states/eV/cell
Energy relative to the elements ... -0.814 eV per atom
Space group ... No. 216



[22]
VASP calculation (PBE) on HfCuTeF2 after structural relaxation.

Cell and atoms, written as extended XYZ:
```
5
Lattice="-3.545 -2.003 0.024 1.729 -3.010 4.143 -1.522 2.725 2.615" Properties=species:S:1:pos:R:3 pbc="T T T"
Te 0.864 -1.505 2.072
Hf -1.669 -1.144 3.391
Cu 0.000 0.000 0.000
F -0.761 1.362 1.307
F -1.772 -1.002 0.012
```

Summary:
Final energy ... -4.993 eV/atom
DOS(E_F) ... 5.1 states/eV/cell
Formation energy without anion corrections ... -806 meV/atom
Space group ... No. 123



[23]
VASP calculation (PBE) on KRe4Os after structural relaxation.

Cell and atoms, written as extended XYZ:
```
6
Lattice="-0.618 3.065 4.240 -4.838 1.101 1.772 -1.682 -2.086 4.536" Properties=species:S:1:pos:R:3 pbc="T T T"
K -5.354 1.560 7.911
Re -2.989 2.306 6.072
Re -3.518 -0.257 6.219
Re -5.089 1.329 4.844
Re -2.681 0.781 3.962
Os 0.000 0.000 0.000
```

Summary:
Final energy ... -9.202 eV/atom
DOS(E_F) ... 5.6 states/eV/cell
Energy relative to the elements ... 1.152 eV per atom
Space group ... No. 216



[24]
VASP calculation (PBE) on LiSN2O after structural relaxation.

Cell and atoms, written as extended XYZ:
```
5
Lattice="-2.793 1.394 -1.058 -0.520 -2.563 -2.006 -3.009 -2.759 4.305" Properties=species:S:1:pos:R:3 pbc="T T T"
S -1.504 -1.380 2.153
Li 0.000 0.000 0.000
O -3.160 -1.964 0.621
N -0.260 -1.282 -1.003
N -1.396 0.697 -0.529
```

Summary:
Final energy ... -3.396 eV/atom
DOS(E_F) ... 2.9 states/eV/cell
Formation energy without anion corrections ... 2134 meV/atom
Space group ... No. 123